DFT (PBE) results for an optimized crystal structure of Na2YCoBr.

Output
Formation energy without anion corrections: 0.86 eV per atom
SG: P4/mmm

Structure (POSCAR):
```
Na2YCoBr
1.0
-4.7290 4.8034 -0.7199
-2.1353 -2.7227 -4.1401
-4.0490 -3.3437 4.2872
Y Na Co Br
1 2 1 1
Cartesian
0.0000 0.0000 0.0000 Y
-2.0245 -1.6718 2.1436 Na
-2.3645 2.4017 -0.3600 Na
-5.4566 -0.6315 -0.2864 Co
-1.0676 -1.3614 -2.0701 Br
```

=====

DFT (PBE) results for an optimized crystal structure of NbCo2Br2.

Output
Formation energy without anion corrections: 0.74 eV per atom
SG: P4/mbm
Energy above the lowest structure with this stoichiometry: 299 meV per atom

Structure (POSCAR):
```
NbCo2Br2
1.0
7.0932 0.0000 0.0000
0.0000 7.0932 0.0000
0.0000 0.0000 3.0967
Nb Co Br
2 4 4
Cartesian
0.0000 0.0000 0.0000 Nb
3.5466 3.5466 0.0000 Nb
1.0508 4.5974 1.5483 Co
4.5974 6.0424 1.5483 Co
6.0424 2.4958 1.5483 Co
2.4958 1.0508 1.5483 Co
2.4012 5.9478 0.0000 Br
5.9478 4.6920 0.0000 Br
4.6920 1.1454 0.0000 Br
1.1454 2.4012 0.0000 Br
```

=====

DFT (PBE) results for an optimized crystal structure of NbCo2Br2.

Output
Formation energy without anion corrections: 0.44 eV per atom
SG: I4/mmm
Energy above the lowest structure with this stoichiometry: 0 meV per atom

Structure (POSCAR):
```
NbCo2Br2
1.0
-1.3004 0.9699 -2.7679
2.4333 -1.3335 -1.6105
-4.6982 -9.0307 -2.8164
Nb Co Br
1 2 2
Cartesian
0.0000 0.0000 0.0000 Nb
-2.7161 -4.1213 -3.8868 Co
-0.8492 -5.2730 -3.3081 Co
-0.2694 -1.5868 -2.2888 Br
-3.2959 -7.8076 -4.9060 Br
```

=====

DFT (PBE) results for an optimized crystal structure of NbCoBr3.

Output
Formation energy without anion corrections: 0.49 eV per atom
SG: Pm-3m
Energy above the lowest structure with this stoichiometry: 0 meV per atom

Structure (POSCAR):
```
NbCoBr3
1.0
-3.5882 -3.8923 -0.5226
3.6899 -3.0989 -2.2538
1.3446 -1.8828 4.7902
Nb Co Br
1 1 3
Cartesian
0.0000 0.0000 0.0000 Nb
0.7232 -4.4370 1.0069 Co
1.8449 -1.5495 -1.1269 Br
0.6723 -0.9414 2.3951 Br
-1.7941 -1.9462 -0.2613 Br
```

=====

DFT (PBE) results for an optimized crystal structure of NbCoNi2Br.

Output
Formation energy without anion corrections: 0.91 eV per atom
SG: P4/mmm

Structure (POSCAR):
```
NbCoNi2Br
1.0
-0.8541 -4.3320 0.0574
4.2271 -0.8150 1.3957
-1.3256 0.3171 4.2001
Ni Nb Co Br
2 1 1 1
Cartesian
-0.6628 0.1585 2.1001 Ni
-0.4271 -2.1660 0.0287 Ni
2.1136 -0.4075 0.6978 Nb
0.0000 0.0000 0.0000 Co
1.0237 -2.4149 2.8266 Br
```